(1)
A relaxed NaIn2H2 crystal. Source: Alexandria, functional GGA-PBE.

Computed properties:
The calculated volume is 86.2 Å³/f.u. Its symmetry is P4/mbm (127). Its density of states at the Fermi level is 1.6 states/eV per cell. For the raw total energy, the calculation gives -25.81 eV/cell.

a = 6.2764 Å, b = 6.2764 Å, c = 4.3745 Å
α = 90.00°, β = 90.00°, γ = 90.00°
Sites, in units of the cell vectors:
Na1 0.0000 0.0000 0.0000
Na2 0.5000 0.5000 0.0000
H1 0.1767 0.6767 0.0000
H2 0.6767 0.8233 0.0000
H3 0.8233 0.3233 0.0000
H4 0.3233 0.1767 0.0000
In1 0.1732 0.6732 0.5000
In2 0.6732 0.8268 0.5000
In3 0.8268 0.3268 0.5000
In4 0.3268 0.1732 0.5000



(2)
A relaxed NaNb2InH crystal. Source: Alexandria, functional GGA-PBE.

Computed properties:
The calculated volume is 89.5 Å³/f.u. Its symmetry is P4/mmm (123). Its density of states at the Fermi level is 7.3 states/eV per cell. For the raw total energy, the calculation gives -20.17 eV/cell.

a = 5.3109 Å, b = 3.1749 Å, c = 5.3109 Å
α = 90.00°, β = 90.00°, γ = 90.00°
Sites, in units of the cell vectors:
Na1 0.0000 0.0000 0.0000
Nb1 0.0000 0.0000 0.5000
Nb2 0.5000 0.0000 0.0000
H1 0.0000 0.5000 0.0000
In1 0.5000 0.5000 0.5000



(3)
A relaxed Na2InNiH6 crystal. Source: Alexandria, functional GGA-PBE.

Computed properties:
The calculated volume is 109.2 Å³/f.u. Its symmetry is I4mm (107). Its density of states at the Fermi level is 0.1 states/eV per cell. For the raw total energy, the calculation gives -31.43 eV/cell.

a = 4.7285 Å, b = 4.7285 Å, c = 5.9199 Å
α = 113.54°, β = 113.54°, γ = 89.98°
Sites, in units of the cell vectors:
Na1 0.7886 0.2890 0.5775
Na2 0.2886 0.7891 0.5775
In1 0.5405 0.5409 0.0809
Ni1 0.0411 0.0417 0.0818
H1 0.7595 0.7601 0.9527
H2 0.7269 0.7273 0.4538
H3 0.1933 0.1938 0.9525
H4 0.7592 0.1934 0.9521
H5 0.2084 0.2089 0.4168
H6 0.1930 0.7598 0.9523



(4)
A relaxed Na2In2P4H6O17 crystal. Source: Alexandria, functional GGA-PBE.

Computed properties:
The calculated volume is 441.9 Å³/f.u. Its symmetry is P-1 (2). Its density of states at the Fermi level is 0.0 states/eV per cell. For the raw total energy, the calculation gives -369.96 eV/cell.

a = 10.8332 Å, b = 8.6008 Å, c = 9.7709 Å
α = 102.12°, β = 96.29°, γ = 91.39°
Sites, in units of the cell vectors:
Na1 0.6477 0.8681 0.2427
Na2 0.3771 0.6961 0.7210
Na3 0.6229 0.3039 0.2790
Na4 0.3523 0.1319 0.7573
In1 0.8910 0.5648 0.6463
In2 0.3024 0.9987 0.3139
In3 0.6976 0.0013 0.6861
In4 0.1090 0.4352 0.3537
P1 0.6023 0.3230 0.8977
P2 0.1324 0.8426 0.5299
P3 0.5851 0.7136 0.5229
P4 0.8245 0.9111 0.9869
P5 0.1755 0.0889 0.0131
P6 0.4149 0.2864 0.4771
P7 0.8676 0.1574 0.4701
P8 0.3977 0.6770 0.1023
H1 0.0081 0.3479 0.9380
H2 0.4465 0.4954 0.8861
H3 0.4041 0.5908 0.4520
H4 0.2042 0.5764 0.0951
H5 0.8343 0.0991 0.1861
H6 0.9818 0.1565 0.0372
H7 0.0182 0.8435 0.9628
H8 0.1657 0.9009 0.8139
H9 0.7958 0.4236 0.9049
H10 0.5959 0.4092 0.5480
H11 0.5535 0.5046 0.1139
H12 0.9919 0.6521 0.0620
O1 0.6145 0.3538 0.0574
O2 0.4795 0.3894 0.8346
O3 0.7139 0.4098 0.8459
O4 0.2228 0.8803 0.6670
O5 0.0459 0.9993 0.5639
O6 0.9693 0.4519 0.9326
O7 0.4459 0.6972 0.4481
O8 0.6477 0.5541 0.4892
O9 0.2836 0.1667 0.9688
O10 0.9460 0.8112 0.0099
O11 0.0548 0.6867 0.5101
O12 0.6526 0.8512 0.4734
O13 0.5801 0.7826 0.6832
O14 0.1909 0.8454 0.3936
O15 0.8582 0.0862 0.0858
O16 0.5901 0.1450 0.8234
O17 0.1731 0.0621 0.1632
O18 0.8269 0.9379 0.8368
O19 0.4099 0.8550 0.1766
O20 0.1418 0.9138 0.9142
O21 0.8091 0.1546 0.6064
O22 0.4199 0.2174 0.3168
O23 0.3474 0.1488 0.5266
O24 0.9452 0.3133 0.4899
O25 0.0540 0.1888 0.9901
O26 0.7164 0.8333 0.0312
O27 0.3523 0.4459 0.5108
O28 0.5541 0.3028 0.5519
O29 0.0307 0.5481 0.0674
O30 0.9541 0.0007 0.4361
O31 0.7772 0.1197 0.3330
O32 0.2861 0.5902 0.1541
O33 0.5205 0.6106 0.1654
O34 0.3855 0.6462 0.9426